No. 1
VASP calculation (PBE) on a geometry-optimized Ba2ScMn structure.

Cell lengths 3.9712, 5.5352, 12.4697 Å; angles 90.00, 90.00, 90.00 degrees
With the nearest neighbours (Å) after each atom.
Space group Immm (No. 71)
Symmetry-distinct sites (fractional):
Ba  0.0000  0.0000  0.2035 x4  2 Mn 3.22, 4 Ba 3.60
Sc  0.0000  0.5000  0.0000 x2  4 Mn 3.41, 4 Ba 3.75
Mn  0.0000  0.5000  0.5000 x2  4 Ba 3.22, 4 Sc 3.41

- Crystal system: orthorhombic
- VASP energy: -4.2083 eV per atom
- ΔH_f (0 K): 14.5 kcal/mol of atoms
- Relative energy among the computed polymorphs: 282 meV per atom

=====

No. 2
VASP calculation (PBE) on a geometry-optimized BaScMn2 structure.

Cell lengths 5.2717, 5.2717, 3.4848 Å; angles 90.00, 90.00, 90.00 degrees
With the nearest neighbours (Å) after each atom.
Space group P4/mmm (No. 123)
Symmetry-distinct sites (fractional):
Ba  0.0000  0.0000  0.0000 x1  8 Mn 3.16, 2 Ba 3.48
Sc  0.5000  0.5000  0.0000 x1  8 Mn 3.16, 2 Sc 3.48
Mn  0.0000  0.5000  0.5000 x2  4 Ba 3.16, 4 Sc 3.16, 2 Mn 3.48

- Crystal system: tetragonal
- VASP energy: -6.0084 eV per atom
- ΔH_f (0 K): 14.8 kcal/mol of atoms
- Relative energy among the computed polymorphs: 298 meV per atom

=====

No. 3
VASP calculation (PBE) on a geometry-optimized Ba2ScMn structure.

Cell lengths 7.8469, 7.8469, 7.8469 Å; angles 90.00, 90.00, 90.00 degrees
With the nearest neighbours (Å) after each atom.
Space group Fm-3m (No. 225)
Symmetry-distinct sites (fractional):
Ba  0.2500  0.2500  0.2500 x8  4 Mn 3.40, 4 Sc 3.40
Sc  0.0000  0.0000  0.0000 x4  8 Ba 3.40
Mn  0.0000  0.0000  0.5000 x4  8 Ba 3.40

- Crystal system: cubic
- VASP energy: -3.7334 eV per atom
- ΔH_f (0 K): 25.4 kcal/mol of atoms
- Relative energy among the computed polymorphs: 757 meV per atom

=====

No. 4
VASP calculation (PBE) on a geometry-optimized BaScMn4 structure.

Cell lengths 7.8292, 7.8292, 7.8292 Å; angles 90.00, 90.00, 90.00 degrees
With the nearest neighbours (Å) after each atom.
Space group F-43m (No. 216)
Symmetry-distinct sites (fractional):
Ba  0.0000  0.0000  0.0000 x4  12 Mn 3.26, 4 Sc 3.39
Sc  0.2500  0.2500  0.2500 x4  12 Mn 3.24, 4 Ba 3.39
Mn  0.1212  0.1212  0.6212 x16  6 Mn 2.68-2.85

- Crystal system: cubic
- VASP energy: -6.9269 eV per atom
- ΔH_f (0 K): 13.0 kcal/mol of atoms

=====

What did the fourth record say?
VASP calculation (PBE) on a geometry-optimized BaScMn4 structure.

Cell lengths 7.8292, 7.8292, 7.8292 Å; angles 90.00, 90.00, 90.00 degrees
With the nearest neighbours (Å) after each atom.
Space group F-43m (No. 216)
Symmetry-distinct sites (fractional):
Ba  0.0000  0.0000  0.0000 x4  12 Mn 3.26, 4 Sc 3.39
Sc  0.2500  0.2500  0.2500 x4  12 Mn 3.24, 4 Ba 3.39
Mn  0.1212  0.1212  0.6212 x16  6 Mn 2.68-2.85

- Crystal system: cubic
- VASP energy: -6.9269 eV per atom
- ΔH_f (0 K): 13.0 kcal/mol of atoms